Entry 1:
{"formula": "Tc3Ir", "functional": "PBEsol", "state": "optimized geometry", "cell": [[2.721, 0.000, 0.000], [-1.361, 2.357, 0.000], [0.000, 0.000, 8.689]], "species": ["Tc", "Tc", "Tc", "Ir"], "fractional_positions": [[0.000, 0.000, 0.000], [0.667, 0.333, 0.249], [0.667, 0.333, 0.751], [0.000, 0.000, 0.500]], "relative_energy_mev_per_atom": 65, "total_magnetization_mub_per_cell": 0.0, "crystal_system": "hexagonal"}

***

Entry 2:
{"formula": "TcIr", "functional": "PBEsol", "state": "optimized geometry", "cell": [[2.718, 0.000, 0.000], [-1.359, 2.354, 0.000], [0.000, 0.000, 4.344]], "species": ["Tc", "Ir"], "fractional_positions": [[0.000, 0.000, 0.000], [0.667, 0.333, 0.500]], "relative_energy_mev_per_atom": 84, "total_magnetization_mub_per_cell": 0.0, "crystal_system": "hexagonal"}

***

Entry 3:
{"formula": "TcIr5", "functional": "PBEsol", "state": "optimized geometry", "cell": [[2.705, 0.000, 0.000], [0.000, 2.705, 0.000], [0.000, 0.000, 11.503]], "species": ["Tc", "Ir", "Ir", "Ir", "Ir", "Ir"], "fractional_positions": [[0.000, 0.000, 0.000], [0.000, 0.000, 0.335], [0.000, 0.000, 0.665], [0.500, 0.500, 0.164], [0.500, 0.500, 0.500], [0.500, 0.500, 0.836]], "relative_energy_mev_per_atom": 33, "total_magnetization_mub_per_cell": 0.0, "crystal_system": "tetragonal"}

***

Entry 4:
{"formula": "TcIr", "functional": "PBEsol", "state": "optimized geometry", "cell": [[4.323, 0.000, 0.000], [0.000, 2.705, 0.000], [0.000, 0.000, 4.748]], "species": ["Tc", "Tc", "Ir", "Ir"], "fractional_positions": [[0.250, 0.000, 0.163], [0.750, 0.000, 0.837], [0.250, 0.500, 0.668], [0.750, 0.500, 0.332]], "relative_energy_mev_per_atom": 0, "total_magnetization_mub_per_cell": 0.0, "crystal_system": "orthorhombic"}

***

Entry 5:
{"formula": "Tc3Ir", "functional": "PBEsol", "state": "optimized geometry", "cell": [[2.714, 0.000, 0.000], [0.000, 4.329, 0.000], [0.000, 0.000, 4.730]], "species": ["Tc", "Tc", "Tc", "Ir"], "fractional_positions": [[0.000, 0.000, 0.000], [0.000, 0.500, 0.330], [0.500, 0.500, 0.832], [0.500, 0.000, 0.496]], "relative_energy_mev_per_atom": 0, "total_magnetization_mub_per_cell": 0.0, "crystal_system": "orthorhombic"}

***

Entry 6:
{"formula": "TcIr5", "functional": "PBEsol", "state": "optimized geometry", "cell": [[3.827, 0.000, 0.000], [0.000, 11.482, 0.000], [0.000, 0.000, 3.829]], "species": ["Tc", "Tc", "Ir", "Ir", "Ir", "Ir", "Ir", "Ir", "Ir", "Ir", "Ir", "Ir"], "fractional_positions": [[0.000, 0.000, 0.000], [0.500, 0.500, 0.000], [0.000, 0.166, 0.500], [0.000, 0.338, 0.000], [0.000, 0.500, 0.500], [0.000, 0.662, 0.000], [0.000, 0.834, 0.500], [0.500, 0.000, 0.500], [0.500, 0.162, 0.000], [0.500, 0.334, 0.500], [0.500, 0.666, 0.500], [0.500, 0.838, 0.000]], "relative_energy_mev_per_atom": 0, "total_magnetization_mub_per_cell": 0.0, "crystal_system": "orthorhombic"}